Record 1
Material: CsCuNiTe3
Method: DFT, GGA-PBE
State: optimized geometry

Computed properties:
The value obtained for the energy above the lowest structure with this stoichiometry is 49 meV/atom. The total magnetization comes out at 0.00 μB per atom. The volume is 29.49 Å³ per atom. The space-group type is Cmcm, No. 63.

Cell lengths 8.586, 8.586, 10.796 Å; angles 90.00, 90.00, 153.60 degrees
Element x y z (fractional)
1 Cs 0.756 0.244 0.250
2 Cs 0.244 0.756 0.750
3 Cu 0.457 0.543 0.250
4 Cu 0.543 0.457 0.750
5 Ni 0.000 0.000 0.000
6 Ni 0.000 0.000 0.500
7 Te 0.399 0.601 0.029
8 Te 0.056 0.944 0.250
9 Te 0.399 0.601 0.471
10 Te 0.601 0.399 0.529
11 Te 0.944 0.056 0.750
12 Te 0.601 0.399 0.971

---

Record 2
Material: Lu2MgTc
Method: DFT, GGA-PBE
State: optimized geometry

Computed properties:
The value obtained for the energy above the lowest structure with this stoichiometry is 382 meV/atom. The total magnetization comes out at 0.00 μB per atom. The volume is 23.09 Å³ per atom. The space-group type is P6_3/mmc, No. 194.

Cell lengths 5.174, 5.174, 7.970 Å; angles 90.00, 90.00, 120.00 degrees
Element x y z (fractional)
1 Lu 0.667 0.333 0.078
2 Lu 0.667 0.333 0.422
3 Lu 0.333 0.667 0.578
4 Lu 0.333 0.667 0.922
5 Mg 0.000 0.000 0.000
6 Mg 0.000 0.000 0.500
7 Tc 0.333 0.667 0.250
8 Tc 0.667 0.333 0.750